No. 1
This record from the Alexandria database describes an optimized crystal structure of KNaPt3. The functional is PBE-GGA.

Summary:
D(E_F)	1.255	states/eV per atom
calculated total energy	-15.2	eV for the cell shown

Cell: 4.892 4.892 4.892 Å, 90.00 90.00 90.00°
Fractional positions:
1 Pt 0.000 0.500 0.000
2 Pt 0.500 0.000 0.000
3 Pt 0.000 0.000 0.500
4 Na 0.000 0.000 0.000
5 K 0.500 0.500 0.500

***

No. 2
This record from the Alexandria database describes an optimized crystal structure of Tl2H2N. The functional is PBE-GGA.

Summary:
D(E_F)	0.426	states/eV per atom
calculated total energy	-27.3	eV for the cell shown

Cell: 6.130 6.130 3.997 Å, 90.00 90.00 90.00°
Fractional positions:
1 Tl 0.817 0.317 0.500
2 Tl 0.683 0.817 0.500
3 Tl 0.183 0.683 0.500
4 Tl 0.317 0.183 0.500
5 H 0.746 0.754 0.000
6 H 0.246 0.746 0.000
7 H 0.254 0.246 0.000
8 H 0.754 0.254 0.000
9 N 0.000 0.000 0.000
10 N 0.500 0.500 0.000

***

No. 3
This record from the Alexandria database describes an optimized crystal structure of Na4SrLi. The functional is PBE-GGA.

Summary:
D(E_F)	0.828	states/eV per atom
calculated total energy	-8.4	eV for the cell shown

Cell: 6.860 6.860 6.860 Å, 60.00 60.00 60.00°
Fractional positions:
1 Na 0.123 0.626 0.626
2 Na 0.626 0.626 0.123
3 Na 0.626 0.626 0.626
4 Na 0.626 0.123 0.626
5 Li 0.000 0.000 0.000
6 Sr 0.250 0.250 0.250

***

What are the total magnetization values for these records? In order: 0.00 0.00 0.00 μB per formula unit.